TbPmHoSc: relaxed, GGA-PBE.

```
data_TbPmHoSc
_space_group_name_H-M_alt 'C 1 m 1'
_space_group_IT_number 8
_cell_length_a 12.135
_cell_length_b 5.634
_cell_length_c 3.771
_cell_angle_alpha 90.00
_cell_angle_beta 108.08
_cell_angle_gamma 90.00
loop_
_space_group_symop_operation_xyz
'x,y,z'
'x,-y,z'
'x+1/2,y+1/2,z'
'x+1/2,-y+1/2,z'
loop_
_atom_site_label
_atom_site_type_symbol
_atom_site_fract_x
_atom_site_fract_y
_atom_site_fract_z
_atom_site_occupancy
Tb1 Tb 0.000 0.000 0.000 1
Pm1 Pm 0.271 0.000 0.775 1
Ho1 Ho 0.039 0.500 0.540 1
Sc1 Sc 0.269 0.500 0.270 1
```

Results
energy of formation from the pure elements	96	meV/atom
density	7.0	Mg/m³
energy above the most stable polymorph in this dataset	0	meV/atom
final energy	-19.90	eV per formula unit
calculated volume	30.6	A^3/atom
crystal system	monoclinic

Pm3Ho2ScTe6: relaxed, GGA-PBE.

```
data_Pm3Ho2ScTe6
_space_group_name_H-M_alt 'C 1 2/m 1'
_space_group_IT_number 12
_cell_length_a 19.156
_cell_length_b 4.337
_cell_length_c 8.832
_cell_angle_alpha 90.00
_cell_angle_beta 104.42
_cell_angle_gamma 90.00
loop_
_space_group_symop_operation_xyz
'x,y,z'
'-x,-y,-z'
'-x,y,-z'
'x,-y,z'
'x+1/2,y+1/2,z'
'-x+1/2,-y+1/2,-z'
'-x+1/2,y+1/2,-z'
'x+1/2,-y+1/2,z'
loop_
_atom_site_label
_atom_site_type_symbol
_atom_site_fract_x
_atom_site_fract_y
_atom_site_fract_z
_atom_site_occupancy
Pm1 Pm 0.000 0.000 0.000 1
Pm2 Pm 0.171 0.500 0.337 1
Ho1 Ho 0.166 0.500 0.833 1
Sc1 Sc 0.000 0.000 0.500 1
Te1 Te 0.001 0.500 0.735 1
Te2 Te 0.159 0.000 0.587 1
Te3 Te 0.169 0.000 0.078 1
```

Results
density	7.4	Mg/m³
final energy	-64.21	eV per formula unit
calculated volume	29.6	A^3/atom
formation energy from raw total energies	-1.302	eV/atom
crystal system	monoclinic

Pm2Ho3ScTe6: relaxed, GGA-PBE.

```
data_Pm2Ho3ScTe6
_space_group_name_H-M_alt 'C 1 2/m 1'
_space_group_IT_number 12
_cell_length_a 19.008
_cell_length_b 4.328
_cell_length_c 8.750
_cell_angle_alpha 90.00
_cell_angle_beta 102.94
_cell_angle_gamma 90.00
loop_
_space_group_symop_operation_xyz
'x,y,z'
'-x,-y,-z'
'-x,y,-z'
'x,-y,z'
'x+1/2,y+1/2,z'
'-x+1/2,-y+1/2,-z'
'-x+1/2,y+1/2,-z'
'x+1/2,-y+1/2,z'
loop_
_atom_site_label
_atom_site_type_symbol
_atom_site_fract_x
_atom_site_fract_y
_atom_site_fract_z
_atom_site_occupancy
Pm1 Pm 0.170 0.000 0.335 1
Ho1 Ho 0.000 0.500 0.500 1
Ho2 Ho 0.176 0.000 0.837 1
Sc1 Sc 0.000 0.500 0.000 1
Te1 Te 0.005 0.000 0.760 1
Te2 Te 0.159 0.500 0.071 1
Te3 Te 0.162 0.500 0.589 1
```

Results
density	7.6	Mg/m³
final energy	-63.67	eV per formula unit
calculated volume	29.2	A^3/atom
formation energy from raw total energies	-1.271	eV/atom
crystal system	monoclinic

PmHoThSc: relaxed, GGA-PBE.

```
data_PmHoThSc
_space_group_name_H-M_alt 'P 4 m m'
_space_group_IT_number 99
_cell_length_a 3.555
_cell_length_b 3.555
_cell_length_c 9.629
_cell_angle_alpha 90.00
_cell_angle_beta 90.00
_cell_angle_gamma 90.00
loop_
_space_group_symop_operation_xyz
'x,y,z'
'-y,x,z'
'-x,-y,z'
'y,-x,z'
'-x,y,z'
'y,x,z'
'x,-y,z'
'-y,-x,z'
loop_
_atom_site_label
_atom_site_type_symbol
_atom_site_fract_x
_atom_site_fract_y
_atom_site_fract_z
_atom_site_occupancy
Pm1 Pm 0.000 0.000 0.000 1
Ho1 Ho 0.500 0.500 0.730 1
Th1 Th 0.000 0.000 0.479 1
Sc1 Sc 0.500 0.500 0.246 1
```

Results
energy of formation from the pure elements	23	meV/atom
density	8.0	Mg/m³
energy above the most stable polymorph in this dataset	0	meV/atom
final energy	-22.99	eV per formula unit
calculated volume	30.4	A^3/atom
crystal system	tetragonal

PmHoThSc: relaxed, GGA-PBE.

```
data_PmHoThSc
_space_group_name_H-M_alt 'F -4 3 m'
_space_group_IT_number 216
_space_group_name_Hall 'F -4 2 3'
_cell_length_a 7.886
_cell_length_b 7.886
_cell_length_c 7.886
_cell_angle_alpha 90.00
_cell_angle_beta 90.00
_cell_angle_gamma 90.00
loop_
_atom_site_label
_atom_site_type_symbol
_atom_site_fract_x
_atom_site_fract_y
_atom_site_fract_z
_atom_site_occupancy
Pm1 Pm 0.000 0.000 0.000 1
Ho1 Ho 0.250 0.250 0.750 1
Th1 Th 0.250 0.250 0.250 1
Sc1 Sc 0.000 0.000 0.500 1
```

Results
energy of formation from the pure elements	158	meV/atom
density	8.0	Mg/m³
energy above the most stable polymorph in this dataset	136	meV/atom
final energy	-22.45	eV per formula unit
calculated volume	30.6	A^3/atom
crystal system	cubic

Pm2HoThSc4: relaxed, GGA-PBE.

```
data_Pm2HoThSc4
_space_group_name_H-M_alt 'P 4/m m m'
_space_group_IT_number 123
_space_group_name_Hall '-P 4 2'
_cell_length_a 5.006
_cell_length_b 5.006
_cell_length_c 9.087
_cell_angle_alpha 90.00
_cell_angle_beta 90.00
_cell_angle_gamma 90.00
loop_
_atom_site_label
_atom_site_type_symbol
_atom_site_fract_x
_atom_site_fract_y
_atom_site_fract_z
_atom_site_occupancy
Pm1 Pm 0.000 0.000 0.000 1
Pm2 Pm 0.500 0.500 0.500 1
Ho1 Ho 0.000 0.000 0.500 1
Th1 Th 0.500 0.500 0.000 1
Sc1 Sc 0.000 0.500 0.248 1
```

Results
energy of formation from the pure elements	47	meV/atom
density	6.3	Mg/m³
final energy	-46.45	eV per formula unit
calculated volume	28.5	A^3/atom
crystal system	tetragonal